An optimized crystal structure of Na4TlGaPd2. Source: the Open Quantum Materials Database, functional PBE.

Properties
Theoretical density (g/cm3): 5.9
Calculated total energy (eV/cell): -22.17

Structure (POSCAR):
```
Na4TlGaPd2
1.0
-1.6214 0.3881 -4.5285
2.4758 -3.9567 -1.2256
-5.5071 -3.9518 1.6331
Ga Na Pd Tl
1 4 2 1
Cartesian
0.0000 0.0000 0.0000 Ga
0.4272 -1.7843 -2.8770 Na
-2.1121 -0.7398 -1.8783 Na
-2.7536 -1.9759 0.8165 Na
-2.9678 -4.9963 0.6344 Na
0.0086 -2.8605 -0.2482 Pd
-5.0885 -2.8756 -0.9957 Pd
-2.3263 -3.7602 -2.0605 Tl
```


An optimized crystal structure of Na4ZnGa2Pd. Source: the Open Quantum Materials Database, functional PBE.

Properties
Theoretical density (g/cm3): 4.3
Calculated total energy (eV/cell): -18.31

Structure (POSCAR):
```
Na4ZnGa2Pd
1.0
4.7927 0.0000 0.0000
0.0000 4.7927 0.0000
0.0000 0.0000 6.7953
Ga Na Pd Zn
2 4 1 1
Cartesian
2.3964 0.0000 1.6092 Ga
0.0000 2.3964 5.1861 Ga
2.3964 2.3964 0.0000 Na
0.0000 2.3964 1.6767 Na
0.0000 0.0000 3.3977 Na
2.3964 0.0000 5.1186 Na
0.0000 0.0000 0.0000 Pd
2.3964 2.3964 3.3977 Zn
```


An optimized crystal structure of Na4ZnGaPd2. Source: the Open Quantum Materials Database, functional PBE.

Properties
Theoretical density (g/cm3): 4.9
Calculated total energy (eV/cell): -20.92

Structure (POSCAR):
```
Na4ZnGaPd2
1.0
4.7442 0.0000 0.0000
0.0000 4.7442 0.0000
0.0000 0.0000 6.6905
Ga Na Pd Zn
1 4 2 1
Cartesian
2.3721 2.3721 0.0000 Ga
0.0000 0.0000 0.0000 Na
0.0000 2.3721 1.7057 Na
2.3721 2.3721 3.3453 Na
2.3721 0.0000 4.9849 Na
2.3721 0.0000 1.5924 Pd
0.0000 2.3721 5.0981 Pd
0.0000 0.0000 3.3453 Zn
```


An optimized crystal structure of NaZrGaPd. Source: the Open Quantum Materials Database, functional PBE.

Properties
Theoretical density (g/cm3): 6.4
Calculated total energy (eV/cell): -19.01
Energy relative to the lowest polymorph listed for this composition (meV/atom): 48

Structure (POSCAR):
```
NaZrGaPd
1.0
0.0000 3.3445 3.3445
3.3445 0.0000 3.3445
3.3445 3.3445 0.0000
Ga Na Pd Zr
1 1 1 1
Cartesian
0.0000 0.0000 0.0000 Ga
5.0167 5.0167 5.0167 Na
3.3445 3.3445 3.3445 Pd
1.6722 1.6722 1.6722 Zr
```


An optimized crystal structure of NaZrGaPd. Source: the Open Quantum Materials Database, functional PBE.

Properties
Theoretical density (g/cm3): 6.9
Calculated total energy (eV/cell): -19.20
Energy relative to the lowest polymorph listed for this composition (meV/atom): 0

Structure (POSCAR):
```
NaZrGaPd
1.0
1.9101 -2.9147 -3.0401
-1.3849 -4.4094 -0.1600
-2.4628 -1.5207 -3.6067
Ga Na Pd Zr
1 1 1 1
Cartesian
-0.9688 -4.4224 -3.4034 Ga
-1.4532 -6.6337 -5.1051 Na
-0.4844 -2.2112 -1.7017 Pd
0.0000 0.0000 0.0000 Zr
```


An optimized crystal structure of NaPmGa. Source: the Open Quantum Materials Database, functional PBE.

Properties
Theoretical density (g/cm3): 4.5
Calculated total energy (eV/cell): -9.15
Energy relative to the lowest polymorph listed for this composition (meV/atom): 0

Structure (POSCAR):
```
NaPmGa
1.0
-0.7627 0.4630 4.9128
-3.0630 3.5446 1.7278
-4.4123 -1.2567 1.9709
Ga Na Pm
1 1 1
Cartesian
0.0000 0.0000 0.0000 Ga
-2.0595 0.6877 2.1529 Na
-6.1785 2.0632 6.4586 Pm
```